# 1
A plane-wave DFT calculation with GGA-PBE was carried out for a geometry-optimized Ac3Pr2Tm structure.

a b c (Å): 6.664 6.664 12.283
angles (deg): 90.00 90.00 120.00
Fractional coordinates of all 12 atoms:
Tm1 0.000 0.000 0.500
Tm2 0.000 0.000 0.000
Pr1 0.667 0.333 0.000
Pr2 0.667 0.333 0.500
Pr3 0.333 0.667 0.000
Pr4 0.333 0.667 0.500
Ac1 0.330 0.000 0.750
Ac2 0.000 0.670 0.250
Ac3 0.670 0.670 0.750
Ac4 0.330 0.330 0.250
Ac5 0.000 0.330 0.750
Ac6 0.670 0.000 0.250

## Properties
Formation enthalpy at 0 K: 0.06 eV per atom


# 2
A plane-wave DFT calculation with GGA-PBE was carried out for a geometry-optimized Ac2Pr5Tm2 structure.

a b c (Å): 5.253 8.339 8.349
angles (deg): 107.59 108.34 90.00
Fractional coordinates of all 9 atoms:
Ac1 0.111 0.668 0.221
Ac2 0.889 0.332 0.779
Tm1 0.557 0.331 0.114
Tm2 0.443 0.669 0.886
Pr1 0.219 0.333 0.439
Pr2 0.665 0.005 0.329
Pr3 0.335 0.995 0.671
Pr4 0.781 0.667 0.561
Pr5 0.000 0.000 0.000

## Properties
Formation enthalpy at 0 K: 0.04 eV per atom


# 3
A plane-wave DFT calculation with GGA-PBE was carried out for a geometry-optimized Ac2Pr6Tm5 structure.

a b c (Å): 3.715 12.117 20.627
angles (deg): 90.00 90.00 90.00
Fractional coordinates of all 26 atoms:
Pr1 0.000 0.923 0.636
Pr2 0.500 0.681 0.881
Pr3 0.000 0.945 0.924
Pr4 0.000 0.577 0.136
Pr5 0.000 0.055 0.076
Pr6 0.500 0.319 0.119
Pr7 0.500 0.819 0.381
Pr8 0.000 0.077 0.364
Pr9 0.000 0.445 0.576
Pr10 0.000 0.423 0.864
Pr11 0.000 0.555 0.424
Pr12 0.500 0.181 0.619
Tm1 0.500 0.297 0.446
Tm2 0.500 0.797 0.054
Tm3 0.500 0.400 0.720
Tm4 0.500 0.203 0.946
Tm5 0.500 0.100 0.220
Tm6 0.500 0.900 0.780
Tm7 0.500 0.703 0.554
Tm8 0.500 0.500 0.000
Tm9 0.500 0.000 0.500
Tm10 0.500 0.600 0.280
Ac1 0.000 0.839 0.219
Ac2 0.000 0.161 0.781
Ac3 0.000 0.339 0.281
Ac4 0.000 0.661 0.719

## Properties
Formation enthalpy at 0 K: 0.12 eV per atom


# 4
A plane-wave DFT calculation with GGA-PBE was carried out for a geometry-optimized Ac6Pr5Tm2 structure.

a b c (Å): 3.766 11.396 24.200
angles (deg): 90.00 90.00 90.00
Fractional coordinates of all 26 atoms:
Tm1 0.000 0.666 0.734
Tm2 0.000 0.166 0.766
Tm3 0.000 0.334 0.266
Tm4 0.000 0.834 0.234
Ac1 0.000 0.482 0.614
Ac2 0.500 0.334 0.135
Ac3 0.000 0.982 0.886
Ac4 0.000 0.353 0.884
Ac5 0.000 0.018 0.114
Ac6 0.000 0.647 0.116
Ac7 0.500 0.666 0.865
Ac8 0.500 0.834 0.365
Ac9 0.500 0.166 0.635
Ac10 0.000 0.147 0.384
Ac11 0.000 0.853 0.616
Ac12 0.000 0.518 0.386
Pr1 0.500 0.084 0.249
Pr2 0.500 0.835 0.003
Pr3 0.500 0.665 0.503
Pr4 0.500 0.335 0.497
Pr5 0.500 0.916 0.751
Pr6 0.500 0.000 0.500
Pr7 0.500 0.584 0.251
Pr8 0.500 0.500 0.000
Pr9 0.500 0.416 0.749
Pr10 0.500 0.165 0.997

## Properties
Formation enthalpy at 0 K: 0.14 eV per atom


# 5
A plane-wave DFT calculation with GGA-PBE was carried out for a geometry-optimized Ac2Pr4Tm3 structure.

a b c (Å): 5.238 6.440 11.075
angles (deg): 73.14 89.99 66.01
Fractional coordinates of all 9 atoms:
Tm1 0.337 0.326 0.447
Tm2 0.663 0.674 0.553
Tm3 0.000 0.000 0.000
Pr1 0.334 0.332 0.113
Pr2 0.998 0.004 0.662
Pr3 0.666 0.668 0.887
Pr4 0.002 0.996 0.338
Ac1 0.667 0.667 0.226
Ac2 0.333 0.333 0.774

## Properties
Formation enthalpy at 0 K: 0.05 eV per atom


# 6
A plane-wave DFT calculation with GGA-PBE was carried out for a geometry-optimized AcPr4Tm3 structure.

a b c (Å): 3.787 5.953 12.971
angles (deg): 103.27 98.39 90.00
Fractional coordinates of all 8 atoms:
Tm1 0.500 0.000 0.000
Tm2 0.266 0.766 0.531
Tm3 0.734 0.234 0.469
Pr1 0.886 0.886 0.772
Pr2 0.114 0.114 0.228
Pr3 0.642 0.642 0.284
Pr4 0.358 0.358 0.716
Ac1 0.000 0.500 0.000

## Properties
Formation enthalpy at 0 K: 0.09 eV per atom


# 7
A plane-wave DFT calculation with GGA-PBE was carried out for a geometry-optimized Ac2Pr6Tm3 structure.

a b c (Å): 3.717 3.717 33.101
angles (deg): 86.78 86.78 60.00
Fractional coordinates of all 11 atoms:
Pr1 0.182 0.182 0.454
Pr2 0.087 0.087 0.739
Pr3 0.638 0.638 0.087
Pr4 0.362 0.362 0.913
Pr5 0.913 0.913 0.261
Pr6 0.818 0.818 0.546
Tm1 0.000 0.000 0.000
Tm2 0.725 0.725 0.826
Tm3 0.275 0.275 0.174
Ac1 0.453 0.453 0.642
Ac2 0.547 0.547 0.358

## Properties
Formation enthalpy at 0 K: 0.04 eV per atom


# 8
A plane-wave DFT calculation with GGA-PBE was carried out for a geometry-optimized AcPr7Tm12 structure.

a b c (Å): 9.794 9.794 9.794
angles (deg): 109.47 109.47 109.47
Fractional coordinates of all 20 atoms:
Tm1 0.746 0.746 0.492
Tm2 0.492 0.746 0.746
Tm3 0.254 0.000 0.746
Tm4 0.254 0.508 0.254
Tm5 0.000 0.746 0.254
Tm6 0.508 0.254 0.254
Tm7 0.000 0.254 0.746
Tm8 0.254 0.746 0.000
Tm9 0.746 0.254 0.000
Tm10 0.746 0.000 0.254
Tm11 0.746 0.492 0.746
Tm12 0.254 0.254 0.508
Pr1 0.500 0.500 0.000
Pr2 0.500 0.500 0.500
Pr3 0.500 0.000 0.500
Pr4 0.000 0.500 0.000
Pr5 0.000 0.000 0.500
Pr6 0.000 0.500 0.500
Pr7 0.500 0.000 0.000
Ac1 0.000 0.000 0.000

## Properties
Formation enthalpy at 0 K: 0.62 eV per atom


# 9
A plane-wave DFT calculation with GGA-PBE was carried out for a geometry-optimized AcPr2Tm structure.

a b c (Å): 3.755 3.755 10.425
angles (deg): 90.00 90.00 90.00
Fractional coordinates of all 4 atoms:
Pr1 0.000 0.000 0.234
Pr2 0.000 0.000 0.766
Tm1 0.500 0.500 0.000
Ac1 0.500 0.500 0.500

## Properties
Formation enthalpy at 0 K: 0.04 eV per atom
Distance to the lowest polymorph of the same formula: 0.016 eV per atom


# 10
A plane-wave DFT calculation with GGA-PBE was carried out for a geometry-optimized AcPr4Tm8 structure.

a b c (Å): 7.863 7.863 7.863
angles (deg): 90.11 90.11 90.11
Fractional coordinates of all 13 atoms:
Tm1 0.237 0.237 0.237
Tm2 0.238 0.764 0.764
Tm3 0.236 0.236 0.762
Tm4 0.762 0.236 0.236
Tm5 0.763 0.763 0.763
Tm6 0.764 0.238 0.764
Tm7 0.236 0.762 0.236
Tm8 0.764 0.764 0.238
Ac1 0.500 0.500 0.500
Pr1 0.500 0.500 0.000
Pr2 0.000 0.500 0.500
Pr3 0.500 0.000 0.500
Pr4 0.000 0.000 0.000

## Properties
Formation enthalpy at 0 K: 0.54 eV per atom


# 11
A plane-wave DFT calculation with GGA-PBE was carried out for a geometry-optimized Ac6PrTm2 structure.

a b c (Å): 10.104 12.657 12.657
angles (deg): 43.92 46.60 46.60
Fractional coordinates of all 18 atoms:
Ac1 0.754 0.084 0.643
Ac2 0.926 0.903 0.299
Ac3 0.910 0.445 0.313
Ac4 0.410 0.313 0.445
Ac5 0.246 0.916 0.357
Ac6 0.254 0.643 0.084
Ac7 0.090 0.555 0.687
Ac8 0.574 0.701 0.097
Ac9 0.746 0.357 0.916
Ac10 0.426 0.299 0.903
Ac11 0.074 0.097 0.701
Ac12 0.590 0.687 0.555
Pr1 0.250 0.099 0.901
Pr2 0.750 0.901 0.099
Tm1 0.583 0.859 0.705
Tm2 0.083 0.705 0.859
Tm3 0.417 0.141 0.295
Tm4 0.917 0.295 0.141

## Properties
Formation enthalpy at 0 K: 0.17 eV per atom


# 12
A plane-wave DFT calculation with GGA-PBE was carried out for a geometry-optimized AcPr3Tm structure.

a b c (Å): 8.555 8.555 6.274
angles (deg): 90.00 90.00 57.92
Fractional coordinates of all 10 atoms:
Ac1 0.797 0.797 0.750
Ac2 0.203 0.203 0.250
Pr1 0.602 0.209 0.250
Pr2 0.209 0.602 0.250
Pr3 0.791 0.398 0.750
Pr4 0.398 0.791 0.750
Pr5 0.000 0.000 0.500
Pr6 0.000 0.000 0.000
Tm1 0.355 0.355 0.750
Tm2 0.645 0.645 0.250

## Properties
Formation enthalpy at 0 K: 0.34 eV per atom
Distance to the lowest polymorph of the same formula: 0.296 eV per atom


> What is the formula in the first record?

Ac3Pr2Tm


Copy entry 3 word for word.
A plane-wave DFT calculation with GGA-PBE was carried out for a geometry-optimized Ac2Pr6Tm5 structure.

a b c (Å): 3.715 12.117 20.627
angles (deg): 90.00 90.00 90.00
Fractional coordinates of all 26 atoms:
Pr1 0.000 0.923 0.636
Pr2 0.500 0.681 0.881
Pr3 0.000 0.945 0.924
Pr4 0.000 0.577 0.136
Pr5 0.000 0.055 0.076
Pr6 0.500 0.319 0.119
Pr7 0.500 0.819 0.381
Pr8 0.000 0.077 0.364
Pr9 0.000 0.445 0.576
Pr10 0.000 0.423 0.864
Pr11 0.000 0.555 0.424
Pr12 0.500 0.181 0.619
Tm1 0.500 0.297 0.446
Tm2 0.500 0.797 0.054
Tm3 0.500 0.400 0.720
Tm4 0.500 0.203 0.946
Tm5 0.500 0.100 0.220
Tm6 0.500 0.900 0.780
Tm7 0.500 0.703 0.554
Tm8 0.500 0.500 0.000
Tm9 0.500 0.000 0.500
Tm10 0.500 0.600 0.280
Ac1 0.000 0.839 0.219
Ac2 0.000 0.161 0.781
Ac3 0.000 0.339 0.281
Ac4 0.000 0.661 0.719

## Properties
Formation enthalpy at 0 K: 0.12 eV per atom